Entry from Alexandria via LeMat-Bulk: an optimized crystal structure of SmGdS2 (GGA-PBEsol).

a = 3.9210 Å, b = 3.9210 Å, c = 19.2930 Å
α = 90.00°, β = 90.00°, γ = 120.00°
Space group R-3m (No. 166, hexagonal axes)
Asymmetric unit:
Sm  0.0000  0.0000  0.0000
Gd  0.0000  0.0000  0.5000
S  0.0000  0.0000  0.2482

Calculated values
E	-9.238	eV per atom
magnetization	20.48	μB per cell
E_form (uncorrected)	-2161	meV per atom

=====

Entry from Alexandria via LeMat-Bulk: an optimized crystal structure of CrIr4Cl (GGA-PBEsol).

a = 7.307 Å, b = 7.307 Å, c = 7.307 Å
α = 90.00°, β = 90.00°, γ = 90.00°
Space group F-43m (No. 216)
Asymmetric unit:
Cr  0.000  0.000  0.000
Ir  0.125  0.125  0.625
Cl  0.250  0.250  0.250

Calculated values
E	-7.618	eV per atom
magnetization	0.00	μB per cell
E_form (uncorrected)	973	meV per atom